[1]
Material: Re2PPt
Method: DFT, PBE-GGA
State: optimized geometry

Output
* size of the total moment: 0.000 μB per formula unit
* total DFT energy (no corrections): -8.649 eV per atom
* ΔH_f (0 K): 438 meV/atom
* ΔE to the lowest computed polymorph: 496.5 meV/atom
* mass density: 16.54 g cm⁻³

```
Re2PPt
1.0
2.8162 0.0000 0.0000
0.0000 4.5644 0.0000
0.0000 0.0000 4.6739
Re P Pt
2 1 1
direct
0.0000 0.0000 0.0000
0.5000 0.5000 0.0000
0.0000 0.5000 0.5000
0.5000 0.0000 0.5000
```

[2]
Material: Re2PPt
Method: DFT, PBE-GGA
State: optimized geometry

Output
* size of the total moment: 0.000 μB per formula unit
* total DFT energy (no corrections): -8.716 eV per atom
* ΔH_f (0 K): 371 meV/atom
* ΔE to the lowest computed polymorph: 429.6 meV/atom
* mass density: 16.75 g cm⁻³

```
Re2PPt
1.0
1.4421 -2.4130 0.0000
1.4421 2.4130 0.0000
0.0000 0.0000 8.5239
Re P Pt
2 1 1
direct
0.0000 0.0000 0.2204
0.0000 0.0000 0.7796
0.5000 0.5000 0.0000
0.5000 0.5000 0.5000
```

[3]
Material: Re2PPt
Method: DFT, PBE-GGA
State: optimized geometry

Output
* size of the total moment: 0.000 μB per formula unit
* total DFT energy (no corrections): -9.023 eV per atom
* ΔH_f (0 K): 64 meV/atom
* ΔE to the lowest computed polymorph: 122.6 meV/atom
* mass density: 16.12 g cm⁻³

```
Re2PPt
1.0
4.5811 -1.4561 0.0000
4.5811 1.4561 0.0000
-0.0104 0.0000 4.6219
Re P Pt
2 1 1
direct
0.0000 0.0000 0.0000
0.7196 0.7196 0.7935
0.2554 0.2554 0.1793
0.4456 0.4456 0.5120
```

[4]
Material: Re2PPt
Method: DFT, PBE-GGA
State: optimized geometry

Output
* size of the total moment: 0.000 μB per formula unit
* total DFT energy (no corrections): -9.061 eV per atom
* ΔH_f (0 K): 26 meV/atom
* ΔE to the lowest computed polymorph: 84.7 meV/atom
* mass density: 17.48 g cm⁻³

```
Re2PPt
1.0
-1.4882 2.1826 4.3765
1.4882 -2.1826 4.3765
1.4882 2.1826 -4.3765
Re P Pt
2 1 1
direct
0.0000 0.0000 0.0000
0.7186 0.2186 0.5000
0.5036 0.5036 0.0000
0.2823 0.7823 0.5000
```

[5]
Material: Re2PPt
Method: DFT, PBE-GGA
State: optimized geometry

Output
* size of the total moment: 0.000 μB per formula unit
* total DFT energy (no corrections): -8.720 eV per atom
* ΔH_f (0 K): 366 meV/atom
* ΔE to the lowest computed polymorph: 425.4 meV/atom
* mass density: 16.43 g cm⁻³

```
Re2PPt
1.0
1.4262 -2.3670 0.0000
1.4262 2.3670 0.0000
0.0000 0.0000 8.9592
Re P Pt
2 1 1
direct
0.0000 0.0000 0.0000
0.5000 0.5000 0.2478
0.0000 0.0000 0.4793
0.5000 0.5000 0.7305
```

[6]
Material: Re2PPt
Method: DFT, PBE-GGA
State: optimized geometry

Output
* size of the total moment: 0.000 μB per formula unit
* total DFT energy (no corrections): -8.281 eV per atom
* ΔH_f (0 K): 806 meV/atom
* ΔE to the lowest computed polymorph: 865.0 meV/atom
* mass density: 12.13 g cm⁻³

```
Re2PPt
1.0
-2.7596 2.7596 5.3794
2.7596 -2.7596 5.3794
2.7596 2.7596 -5.3794
Re P Pt
4 2 2
direct
0.1019 0.6250 0.9769
0.3750 0.3519 0.4769
0.6481 0.1250 0.0231
0.8750 0.8981 0.5231
0.0000 0.0000 0.0000
0.7500 0.2500 0.5000
0.2500 0.7500 0.5000
0.5000 0.5000 0.0000
```

[7]
Material: Re2PPt
Method: DFT, PBE-GGA
State: optimized geometry

Output
* size of the total moment: 0.000 μB per formula unit
* total DFT energy (no corrections): -9.038 eV per atom
* ΔH_f (0 K): 49 meV/atom
* ΔE to the lowest computed polymorph: 107.8 meV/atom
* mass density: 17.04 g cm⁻³

```
Re2PPt
1.0
2.9104 0.0000 0.0000
0.0000 3.8932 0.0000
-1.3716 0.0000 5.1473
Re P Pt
2 1 1
direct
0.1378 0.0000 0.2718
0.8622 0.0000 0.7282
0.5000 0.5000 0.5000
0.5000 0.5000 0.0000
```

[8]
Material: Re2PPt
Method: DFT, PBE-GGA
State: optimized geometry

Output
* size of the total moment: 0.000 μB per formula unit
* total DFT energy (no corrections): -8.890 eV per atom
* ΔH_f (0 K): 197 meV/atom
* ΔE to the lowest computed polymorph: 255.7 meV/atom
* mass density: 17.25 g cm⁻³

```
Re2PPt
1.0
0.0000 3.0654 3.0654
3.0654 0.0000 3.0654
3.0654 3.0654 0.0000
Re P Pt
2 1 1
direct
0.2500 0.2500 0.2500
0.7500 0.7500 0.7500
0.0000 0.0000 0.0000
0.5000 0.5000 0.5000
```

[9]
Material: Re2PPt
Method: DFT, PBE-GGA
State: optimized geometry

Output
* size of the total moment: 0.000 μB per formula unit
* total DFT energy (no corrections): -9.108 eV per atom
* ΔH_f (0 K): -22 meV/atom
* ΔE to the lowest computed polymorph: 37.1 meV/atom
* mass density: 17.07 g cm⁻³

```
Re2PPt
1.0
-1.4435 2.1741 4.6384
1.4435 -2.1741 4.6384
1.4435 2.1741 -4.6384
Re P Pt
2 1 1
direct
0.2059 0.2059 0.0000
0.7941 0.7941 0.0000
0.0000 0.5000 0.5000
0.5000 0.0000 0.5000
```

[10]
Material: Re2PPt
Method: DFT, PBE-GGA
State: optimized geometry

Output
* size of the total moment: 0.000 μB per formula unit
* total DFT energy (no corrections): -8.524 eV per atom
* ΔH_f (0 K): 562 meV/atom
* ΔE to the lowest computed polymorph: 621.2 meV/atom
* mass density: 16.48 g cm⁻³

```
Re2PPt
1.0
0.0000 3.1124 3.1124
3.1124 0.0000 3.1124
3.1124 3.1124 0.0000
Re P Pt
2 1 1
direct
0.0000 0.0000 0.0000
0.2500 0.2500 0.2500
0.5000 0.5000 0.5000
0.7500 0.7500 0.7500
```

[11]
Material: ReP3Pt
Method: DFT, PBE-GGA
State: optimized geometry

Output
* size of the total moment: 0.000 μB per formula unit
* total DFT energy (no corrections): -6.138 eV per atom
* ΔH_f (0 K): 806 meV/atom
* ΔE to the lowest computed polymorph: 0.0 meV/atom
* mass density: 8.22 g cm⁻³

```
ReP3Pt
1.0
4.5759 0.0000 0.0000
0.0000 4.5759 0.0000
0.0000 0.0000 4.5759
Re P Pt
1 3 1
direct
0.0000 0.0000 0.0000
0.0000 0.0000 0.5000
0.0000 0.5000 0.0000
0.5000 0.0000 0.0000
0.5000 0.5000 0.5000
```

[12]
Material: Re2PPt
Method: DFT, PBE-GGA
State: optimized geometry

Output
* size of the total moment: 0.000 μB per formula unit
* total DFT energy (no corrections): -8.781 eV per atom
* ΔH_f (0 K): 305 meV/atom
* ΔE to the lowest computed polymorph: 364.3 meV/atom
* mass density: 17.11 g cm⁻³

```
Re2PPt
1.0
-1.9406 1.9406 3.8555
1.9406 -1.9406 3.8555
1.9406 1.9406 -3.8555
Re P Pt
2 1 1
direct
0.0000 0.0000 0.0000
0.7500 0.2500 0.5000
0.2500 0.7500 0.5000
0.5000 0.5000 0.0000
```

[13]
Material: Re2PPt
Method: DFT, PBE-GGA
State: optimized geometry

Output
* size of the total moment: 0.000 μB per formula unit
* total DFT energy (no corrections): -9.079 eV per atom
* ΔH_f (0 K): 8 meV/atom
* ΔE to the lowest computed polymorph: 66.7 meV/atom
* mass density: 16.85 g cm⁻³

```
Re2PPt
1.0
3.9096 0.0000 0.0000
0.0000 1.4371 5.2488
0.0000 -1.4371 5.2488
Re P Pt
2 1 1
direct
0.0000 0.0000 0.0000
0.5000 0.3856 0.3856
0.5000 0.6037 0.6037
0.0000 0.7396 0.7396
```

[14]
Material: RePPtS2
Method: DFT, PBE-GGA
State: optimized geometry

Output
* formation energy from raw total energies: 0.836 eV/atom
* size of the total moment: 0.000 μB per formula unit
* total DFT energy (no corrections): -5.594 eV per atom
* ΔE to the lowest computed polymorph: 0.0 meV/atom
* mass density: 8.14 g cm⁻³

```
RePPtS2
1.0
4.4633 0.0000 0.0000
0.0000 4.4633 0.0000
0.0000 0.0000 4.8804
Re P Pt S
1 1 1 2
direct
0.0000 0.0000 0.0000
0.0000 0.0000 0.5000
0.5000 0.5000 0.5000
0.0000 0.5000 0.0000
0.5000 0.0000 0.0000
```

[15]
Material: RePPtS2
Method: DFT, PBE-GGA
State: optimized geometry

Output
* formation energy from raw total energies: 1.411 eV/atom
* size of the total moment: 2.998 μB per formula unit
* total DFT energy (no corrections): -5.019 eV per atom
* ΔE to the lowest computed polymorph: 574.9 meV/atom
* mass density: 7.80 g cm⁻³

```
RePPtS2
1.0
4.6831 0.0000 0.0000
0.0000 4.6831 0.0000
0.0000 0.0000 4.6242
Re P Pt S
1 1 1 2
direct
0.0000 0.0000 0.0000
0.5000 0.5000 0.0000
0.5000 0.5000 0.5000
0.0000 0.5000 0.5000
0.5000 0.0000 0.5000
```